A plane-wave DFT calculation with GGA-PBE was carried out for a relaxed SrPmCuSn crystal.

## Properties
DFT formation energy: -0.36 eV per atom

Structure (extended XYZ):
```
4
Lattice="-3.817 0.458 -3.813 -4.225 -3.386 -0.022 -4.931 1.815 1.309" Properties=species:S:1:pos:R:3 pbc="T T T"
Sn -3.243 -0.278 -0.631
Cu -9.730 -0.835 -1.894
Sr 0.000 0.000 0.000
Pm -6.487 -0.557 -1.263
```

***

A plane-wave DFT calculation with GGA-PBE was carried out for a relaxed Li2CaP2 crystal.

## Properties
DFT formation energy: -0.82 eV per atom

Structure (extended XYZ):
```
5
Lattice="-2.568 -1.118 2.956 1.044 -3.895 -0.566 3.050 -1.994 4.700" Properties=species:S:1:pos:R:3 pbc="T T T"
P 0.070 -2.395 1.959
Ca 0.000 0.000 0.000
P 1.457 -4.613 5.130
Li -0.140 -2.810 4.425
Li 1.666 -4.198 2.664
```

***

A plane-wave DFT calculation with GGA-PBE was carried out for a relaxed HfZrAs2Au crystal.

## Properties
DFT formation energy: 0.60 eV per atom

Structure (extended XYZ):
```
5
Lattice="4.990 0.000 0.000 0.000 5.425 0.000 0.000 0.000 4.990" Properties=species:S:1:pos:R:3 pbc="T T T"
Hf 0.000 0.000 0.000
Au 2.495 2.712 2.495
As 2.495 0.000 0.000
Zr 0.000 2.712 0.000
As 0.000 0.000 2.495
```

***

A plane-wave DFT calculation with GGA-PBE was carried out for a relaxed LaAgSn crystal.

## Properties
DFT formation energy: -0.45 eV per atom

Structure (extended XYZ):
```
6
Lattice="-5.305 -0.577 -3.611 1.989 -4.404 -3.340 -0.138 -2.870 3.695" Properties=species:S:1:pos:R:3 pbc="T T T"
Sn -0.879 -1.860 -1.768
La -0.993 -4.380 -3.730
La -4.606 -2.657 -2.526
Sn -3.304 -6.155 -2.231
Ag -2.302 -3.913 -0.452
Ag 0.535 -4.610 -0.888
```

***

A plane-wave DFT calculation with GGA-PBE was carried out for a relaxed CaRu2Se crystal.

## Properties
Formation energy without anion corrections: 0.12 eV/atom

Structure (extended XYZ):
```
4
Lattice="-0.764 4.587 1.413 -2.159 0.622 -3.187 -3.519 -1.191 1.965" Properties=species:S:1:pos:R:3 pbc="T T T"
Se -1.801 2.151 0.401
Ru -2.619 -0.351 -0.276
Ru -3.739 -1.125 1.630
Ca -4.640 1.867 -0.209
```

***

A plane-wave DFT calculation with GGA-PBE was carried out for a relaxed Li4Ca3Au4 crystal.

## Properties
Energy above the lowest structure with this stoichiometry: 3.5 kJ/mol of atoms
DFT formation energy: -0.56 eV per atom

Structure (extended XYZ):
```
11
Lattice="3.989 0.000 -0.009 0.000 4.278 -0.008 1.940 2.091 14.157" Properties=species:S:1:pos:R:3 pbc="T T T"
Ca 3.961 2.112 4.144
Ca 1.968 4.257 9.996
Au 3.915 4.250 12.742
Au 3.965 2.122 8.824
Ca 1.940 2.091 14.157
Li 3.963 2.110 11.401
Li 1.966 2.114 7.037
Au 1.964 4.247 5.316
Li 3.963 4.255 7.103
Au 2.014 2.119 1.398
Li 1.967 4.259 2.739
```

***

A plane-wave DFT calculation with GGA-PBE was carried out for a relaxed Cr2BRu crystal.

## Properties
DFT formation energy: 0.29 eV per atom

Structure (extended XYZ):
```
8
Lattice="6.645 0.000 0.000 0.000 6.645 0.000 3.323 3.323 2.118" Properties=species:S:1:pos:R:3 pbc="T T T"
Ru 0.000 0.000 0.000
Cr 4.365 1.661 0.530
B 3.323 3.323 0.000
Cr 2.280 4.984 0.530
B 3.323 6.645 1.059
Cr 4.984 5.603 1.589
Ru 6.645 3.323 1.059
Cr 8.307 7.688 1.589
```

***

A plane-wave DFT calculation with GGA-PBE was carried out for a relaxed BeTlCu2 crystal.

## Properties
Energy above the lowest structure with this stoichiometry: 0.0 kJ/mol of atoms
DFT formation energy: 0.25 eV per atom

Structure (extended XYZ):
```
4
Lattice="2.985 0.000 0.000 0.000 2.986 0.000 0.000 0.000 6.487" Properties=species:S:1:pos:R:3 pbc="T T T"
Tl 1.492 1.493 1.622
Cu 0.000 0.000 3.670
Be 1.492 1.493 4.865
Cu 0.000 0.000 6.061
```

***

A plane-wave DFT calculation with GGA-PBE was carried out for a relaxed RbScNiS3 crystal.

## Properties
Formation energy without anion corrections: -1.24 eV/atom

Structure (extended XYZ):
```
12
Lattice="-0.136 -2.186 -3.091 -6.528 -4.735 3.636 -3.287 7.205 -4.950" Properties=species:S:1:pos:R:3 pbc="T T T"
S -3.694 4.995 -4.530
S -6.257 -4.711 0.125
S -3.697 -2.763 -1.365
Sc -4.833 -2.720 0.976
Rb -7.774 0.110 -3.217
Ni -7.435 -3.109 -0.956
Ni -2.516 3.393 -3.449
S -3.116 1.445 -4.367
S -6.254 3.047 -3.040
S -6.835 -1.161 -0.038
Sc -5.117 3.004 -5.381
Rb -2.177 0.174 -1.188
```

***

A plane-wave DFT calculation with GGA-PBE was carried out for a relaxed Ti3PtF crystal.

## Properties
Energy above the lowest structure with this stoichiometry: 0.0 kJ/mol of atoms
Formation energy without anion corrections: -0.90 eV/atom

Structure (extended XYZ):
```
5
Lattice="-3.053 -2.198 -1.759 2.268 -0.384 -3.457 1.667 -3.502 1.482" Properties=species:S:1:pos:R:3 pbc="T T T"
Pt 0.441 -3.042 -1.867
Ti 0.834 -1.751 0.741
Ti -1.526 -1.099 -0.879
Ti 1.134 -0.192 -1.728
F 0.000 0.000 0.000
```

***

A plane-wave DFT calculation with GGA-PBE was carried out for a relaxed K2NaMoCl6 crystal.

## Properties
Energy above the lowest structure with this stoichiometry: 0.0 kJ/mol of atoms
Formation energy without anion corrections: -1.49 eV/atom

Structure (extended XYZ):
```
20
Lattice="7.179 0.000 0.000 3.589 6.217 0.000 3.589 2.072 13.093" Properties=species:S:1:pos:R:3 pbc="T T T"
Mo 0.000 0.000 0.000
Cl 5.443 3.142 5.109
K 3.589 2.072 1.102
Cl 5.323 3.073 11.664
Na 7.179 4.145 3.169
Cl 7.179 2.002 1.429
Cl 5.443 5.147 7.985
Na 7.179 4.145 9.925
Cl 5.323 5.216 1.429
Mo 7.179 4.145 6.547
Cl 8.915 3.142 5.109
Cl 7.179 2.140 7.985
K 10.768 6.217 11.991
Cl 9.035 5.216 1.429
Cl 7.179 6.288 11.664
K 10.768 6.217 5.432
Cl 8.915 5.147 7.985
Cl 9.035 3.073 11.664
K 3.589 2.072 7.661
Cl 7.179 6.150 5.109
```

***

A plane-wave DFT calculation with GGA-PBE was carried out for a relaxed CoI7N6 crystal.

## Properties
Formation energy without anion corrections: 1.29 eV/atom

Structure (extended XYZ):
```
14
Lattice="2.597 6.557 -0.187 -2.597 6.557 -0.187 0.000 4.797 11.070" Properties=species:S:1:pos:R:3 pbc="T T T"
N 0.000 7.709 6.828
I 0.000 12.157 4.154
I 0.000 4.390 -0.102
I 0.000 2.609 3.547
I 0.000 13.522 10.798
N 1.303 9.932 6.302
N 1.303 7.980 4.393
N -1.303 7.980 4.393
N -1.303 9.932 6.302
N 0.000 10.202 3.868
I 0.000 15.302 7.148
I 0.000 5.754 6.542
Co 0.000 8.956 5.348
I 0.000 0.000 0.000
```

***

A plane-wave DFT calculation with GGA-PBE was carried out for a relaxed Ac6Sn2GeTe3 crystal.

## Properties
Formation energy without anion corrections: -1.16 eV/atom

Structure (extended XYZ):
```
12
Lattice="-1.156 4.604 -0.256 -9.224 -2.382 -1.169 1.570 -1.479 10.469" Properties=species:S:1:pos:R:3 pbc="T T T"
Sn -6.080 1.260 5.993
Sn -2.731 -0.516 3.052
Ac -7.757 -1.616 5.989
Ac -2.124 -0.546 -0.225
Ac -3.253 -0.464 6.354
Te -1.454 2.453 6.547
Ge -0.578 2.302 -0.128
Ac -6.687 1.290 9.270
Te -5.190 1.111 -0.712
Ac -5.558 1.208 2.691
Ac -1.055 2.359 3.056
Te -7.357 -1.709 2.498
```

***

A plane-wave DFT calculation with GGA-PBE was carried out for a relaxed Ho2CoHg crystal.

## Properties
Energy above the lowest structure with this stoichiometry: 10.2 kJ/mol of atoms
DFT formation energy: -0.24 eV per atom

Structure (extended XYZ):
```
4
Lattice="-1.226 -2.934 3.862 3.254 -3.405 1.687 2.222 0.645 4.436" Properties=species:S:1:pos:R:3 pbc="T T T"
Ho 1.063 -1.423 2.496
Co 0.000 0.000 0.000
Ho 3.188 -4.270 7.488
Hg 2.125 -2.847 4.992
```

***

A plane-wave DFT calculation with GGA-PBE was carried out for a relaxed HfPd3Au crystal.

## Properties
Energy above the lowest structure with this stoichiometry: 90.8 kJ/mol of atoms
DFT formation energy: 0.61 eV per atom

Structure (extended XYZ):
```
5
Lattice="4.840 0.000 0.000 0.000 4.840 0.000 0.000 0.000 4.840" Properties=species:S:1:pos:R:3 pbc="T T T"
Pd 0.000 0.000 2.420
Pd 0.000 2.420 0.000
Pd 2.420 0.000 0.000
Au 2.420 2.420 2.420
Hf 0.000 0.000 0.000
```

***

A plane-wave DFT calculation with GGA-PBE was carried out for a relaxed MnReSe crystal.

## Properties
Energy above the lowest structure with this stoichiometry: 15.8 kJ/mol of atoms
Formation energy without anion corrections: 0.49 eV/atom

Structure (extended XYZ):
```
3
Lattice="4.046 0.000 0.000 -2.023 3.504 0.000 0.000 0.000 2.911" Properties=species:S:1:pos:R:3 pbc="T T T"
Se 2.023 1.168 2.426
Mn 0.000 0.000 2.425
Re 0.000 2.336 0.971
```

***

A plane-wave DFT calculation with GGA-PBE was carried out for a relaxed LiCe5Rh5 crystal.

## Properties
DFT formation energy: -0.50 eV per atom

Structure (extended XYZ):
```
11
Lattice="-4.589 -1.630 -2.416 5.409 -3.020 -2.120 -2.420 -3.623 7.040" Properties=species:S:1:pos:R:3 pbc="T T T"
Ce -1.210 -1.812 3.520
Rh -2.294 -0.815 -1.208
Ce -3.263 -5.189 3.583
Rh -1.173 -3.991 4.921
Ce -2.008 -3.342 -0.047
Ce 1.663 -3.084 -1.079
Rh -0.427 -4.283 -2.416
Rh 0.133 -2.227 1.250
Li 0.000 0.000 0.000
Rh -1.733 -6.047 1.254
Ce 0.408 -4.931 2.551
```

***

A plane-wave DFT calculation with GGA-PBE was carried out for a relaxed Rb4PaF10 crystal.

## Properties
Formation energy without anion corrections: -3.07 eV/atom

Structure (extended XYZ):
```
15
Lattice="-0.801 -6.089 -0.139 4.906 -3.633 -4.860 4.335 -3.789 5.267" Properties=species:S:1:pos:R:3 pbc="T T T"
F 1.402 -1.494 0.879
Rb 5.822 -10.090 1.254
F 0.934 -5.049 0.798
Rb 5.406 -6.865 -1.889
F 4.606 -8.694 3.572
Rb 3.034 -6.645 2.156
F 4.020 -8.277 0.099
Rb 2.618 -3.420 -0.987
F 5.073 -5.139 3.654
F 7.038 -12.017 -0.612
F 3.367 -8.372 -3.386
F 4.420 -5.233 0.168
F 3.834 -4.817 -3.305
F 7.506 -8.462 -0.530
Pa 0.000 0.000 0.000
```

***

A plane-wave DFT calculation with GGA-PBE was carried out for a relaxed CrWSe crystal.

## Properties
Energy above the lowest structure with this stoichiometry: 17.2 kJ/mol of atoms
Formation energy without anion corrections: 0.56 eV/atom

Structure (extended XYZ):
```
3
Lattice="6.353 -0.068 0.049 5.492 2.733 0.137 0.861 -0.790 2.688" Properties=species:S:1:pos:R:3 pbc="T T T"
Cr 0.949 -0.762 2.668
Se 4.601 0.387 1.836
W 8.017 1.461 1.058
```

***

A plane-wave DFT calculation with GGA-PBE was carried out for a relaxed SrZn2TcIr crystal.

## Properties
DFT formation energy: 1.32 eV per atom

Structure (extended XYZ):
```
5
Lattice="4.816 0.000 0.000 0.000 5.382 0.000 0.000 0.000 4.816" Properties=species:S:1:pos:R:3 pbc="T T T"
Sr 0.000 2.691 0.000
Zn 0.000 0.000 2.408
Zn 2.408 0.000 0.000
Ir 2.408 2.691 2.408
Tc 0.000 0.000 0.000
```